A geometry-optimized Si3SnO structure. Source: Alexandria, functional PBE.

- excess energy over the best structure of this formula in the dataset (meV/atom) = 0
- VASP energy (eV per atom) = -4.8153
- ΔE_f (raw) (meV/atom) = 231

a b c (Å): 4.3675 4.3675 4.3675
angles (deg): 90.00 90.00 90.00
Atoms (fractional coordinates):
Si1 0.0000 0.0000 0.5000
Si2 0.0000 0.5000 0.0000
Si3 0.5000 0.0000 0.0000
Sn1 0.5000 0.5000 0.5000
O1 0.0000 0.0000 0.0000